Here is crystalline Si2SnF at its relaxed geometry from Alexandria. Energies are from PBE.

The value obtained for the density of states at the Fermi level is 1.08 states/eV/f.u. As for the energy above the most stable polymorph in this dataset: 0 meV/atom. The uncorrected energy is -72.64 eV/cell. The density is 4.47 g/cm3.

Geometry as CIF:
```
data_Si2SnF
_chemical_formula_sum 'Si8 Sn4 F4'
_space_group_name_H-M_alt 'I -4 2 d'
_space_group_IT_number 122
_space_group_name_Hall 'I -4 2bw'
_cell_length_a 3.547
_cell_length_b 3.547
_cell_length_c 22.900
_cell_angle_alpha 90.00
_cell_angle_beta 90.00
_cell_angle_gamma 90.00
loop_
_atom_site_label
_atom_site_fract_x
_atom_site_fract_y
_atom_site_fract_z
_atom_site_occupancy
Si1 0.246 0.250 0.125 1
Sn1 0.000 0.000 0.000 1
F1 0.000 0.000 0.500 1
```